1.
{"formula": "Sm2TmZn4", "functional": "PBE", "state": "optimized geometry", "formation_enthalpy_0k_kj_per_mol_atoms": -14.8, "magmom_total_mub_per_fu": 0.00, "dos_at_fermi_per_ev_atom": 0.75, "e_tot_ev_per_atom": -2.869, "cell": [[-2.5807, 2.5807, 6.3303], [2.5807, -2.5807, 6.3303], [2.5807, 2.5807, -6.3303]], "species": ["Sm", "Sm", "Tm", "Zn", "Zn", "Zn", "Zn"], "fractional_positions": [[0.2237, 0.2237, 0.0000], [0.7763, 0.7763, 0.0000], [0.5000, 0.5000, 0.0000], [0.1056, 0.6056, 0.5000], [0.3944, 0.8944, 0.5000], [0.6056, 0.1056, 0.5000], [0.8944, 0.3944, 0.5000]]}



2.
{"formula": "Ca2BeCo", "functional": "PBE", "state": "optimized geometry", "formation_enthalpy_0k_kj_per_mol_atoms": 55.8, "magmom_total_mub_per_fu": 0.98, "dos_at_fermi_per_ev_atom": 1.04, "e_tot_ev_per_atom": -3.131, "cell": [[0.0000, 3.3581, 3.3581], [3.3581, 0.0000, 3.3581], [3.3581, 3.3581, 0.0000]], "species": ["Ca", "Ca", "Be", "Co"], "fractional_positions": [[0.0000, 0.0000, 0.0000], [0.2500, 0.2500, 0.2500], [0.7500, 0.7500, 0.7500], [0.5000, 0.5000, 0.5000]]}



Question: Which formula does entry 2 have?
Answer: Ca2BeCo



Please write out number 1 again, unchanged.
{"formula": "Sm2TmZn4", "functional": "PBE", "state": "optimized geometry", "formation_enthalpy_0k_kj_per_mol_atoms": -14.8, "magmom_total_mub_per_fu": 0.00, "dos_at_fermi_per_ev_atom": 0.75, "e_tot_ev_per_atom": -2.869, "cell": [[-2.5807, 2.5807, 6.3303], [2.5807, -2.5807, 6.3303], [2.5807, 2.5807, -6.3303]], "species": ["Sm", "Sm", "Tm", "Zn", "Zn", "Zn", "Zn"], "fractional_positions": [[0.2237, 0.2237, 0.0000], [0.7763, 0.7763, 0.0000], [0.5000, 0.5000, 0.0000], [0.1056, 0.6056, 0.5000], [0.3944, 0.8944, 0.5000], [0.6056, 0.1056, 0.5000], [0.8944, 0.3944, 0.5000]]}